Arrangement a

# Tb2PrTl PBE relaxed
data_Tb2PrTl
_cell_length_a 3.669
_cell_length_b 3.669
_cell_length_c 9.227
_cell_angle_alpha 90.00
_cell_angle_beta 90.00
_cell_angle_gamma 90.00
_symmetry_space_group_name_H-M 'P 4/m m m'
_symmetry_Int_Tables_number 123
_symmetry_space_group_name_Hall '-P 4 2'
loop_
_atom_site_label
_atom_site_type_symbol
_atom_site_fract_x
_atom_site_fract_y
_atom_site_fract_z
Tb1 Tb 0.000 0.000 0.223
Pr1 Pr 0.500 0.500 0.500
Tl1 Tl 0.500 0.500 0.000
# DOS at the Fermi energy = 4.39 states/eV/f.u.
# calculated volume = 124.2 Å³/cell
# mass density = 8.868 g/cm3

Arrangement b

# Tb2PrTl PBE relaxed
data_Tb2PrTl
_cell_length_a 4.620
_cell_length_b 12.687
_cell_length_c 8.859
_cell_angle_alpha 90.00
_cell_angle_beta 90.00
_cell_angle_gamma 90.00
_symmetry_space_group_name_H-M 'C m c m'
_symmetry_Int_Tables_number 63
_symmetry_space_group_name_Hall '-C 2c 2'
loop_
_atom_site_label
_atom_site_type_symbol
_atom_site_fract_x
_atom_site_fract_y
_atom_site_fract_z
Tb1 Tb 0.000 0.136 0.051
Pr1 Pr 0.000 0.442 0.250
Tl1 Tl 0.000 0.265 0.750
# DOS at the Fermi energy = 5.23 states/eV/f.u.
# calculated volume = 519.2 Å³/cell
# mass density = 8.483 g/cm3

Arrangement c

# Tb2PrTl PBE relaxed
data_Tb2PrTl
_cell_length_a 3.5324
_cell_length_b 3.5324
_cell_length_c 36.0266
_cell_angle_alpha 90.00
_cell_angle_beta 90.00
_cell_angle_gamma 120.00
_symmetry_space_group_name_H-M 'R -3 m'
_symmetry_Int_Tables_number 166
_symmetry_space_group_name_Hall '-R 3 2"'
loop_
_atom_site_label
_atom_site_type_symbol
_atom_site_fract_x
_atom_site_fract_y
_atom_site_fract_z
Tb1 Tb 0.0000 0.0000 0.0958
Pr1 Pr 0.0000 0.0000 0.0000
Tl1 Tl 0.0000 0.0000 0.5000
# DOS at the Fermi energy = 7.14 states/eV/f.u.
# calculated volume = 389.3 Å³/cell
# mass density = 8.486 g/cm3

Going by the energies, arrangement a is most stable and the next is 72 meV/atom up.

Arrangement a

# Tb3Pr2Tl PBE relaxed
data_Tb3Pr2Tl
_cell_length_a 17.579
_cell_length_b 6.326
_cell_length_c 7.038
_cell_angle_alpha 90.00
_cell_angle_beta 90.00
_cell_angle_gamma 90.00
_symmetry_space_group_name_H-M 'C m c m'
_symmetry_Int_Tables_number 63
_symmetry_space_group_name_Hall '-C 2c 2'
loop_
_atom_site_label
_atom_site_type_symbol
_atom_site_fract_x
_atom_site_fract_y
_atom_site_fract_z
Tb1 Tb 0.000 0.172 0.250
Tb2 Tb 0.136 0.500 0.000
Pr1 Pr 0.184 0.023 0.750
Tl1 Tl 0.000 0.308 0.750
# DOS at the Fermi energy = 8.34 states/eV/f.u.
# calculated volume = 782.7 Å³/cell
# mass density = 8.172 g/cm3

Arrangement b

# Tb3Pr2Tl PBE relaxed
data_Tb3Pr2Tl
_cell_length_a 4.920
_cell_length_b 15.454
_cell_length_c 4.971
_cell_angle_alpha 90.00
_cell_angle_beta 90.00
_cell_angle_gamma 90.00
_symmetry_space_group_name_H-M 'C m m m'
_symmetry_Int_Tables_number 65
_symmetry_space_group_name_Hall '-C 2 2'
loop_
_atom_site_label
_atom_site_type_symbol
_atom_site_fract_x
_atom_site_fract_y
_atom_site_fract_z
Tb1 Tb 0.000 0.000 0.000
Tb2 Tb 0.000 0.336 0.000
Pr1 Pr 0.000 0.162 0.500
Tl1 Tl 0.000 0.500 0.500
# DOS at the Fermi energy = 7.41 states/eV/f.u.
# calculated volume = 378.0 Å³/cell
# mass density = 8.462 g/cm3

Going by the energies, arrangement b is most stable and the next is 27 meV/atom up.

Arrangement a

# Tb4Pr5Tl PBE relaxed
data_Tb4Pr5Tl
_cell_length_a 10.715
_cell_length_b 10.715
_cell_length_c 6.077
_cell_angle_alpha 90.00
_cell_angle_beta 90.00
_cell_angle_gamma 90.00
_symmetry_space_group_name_H-M 'I 4 m m'
_symmetry_Int_Tables_number 107
_symmetry_space_group_name_Hall 'I 4 -2'
loop_
_atom_site_label
_atom_site_type_symbol
_atom_site_fract_x
_atom_site_fract_y
_atom_site_fract_z
Tb1 Tb 0.000 0.319 0.000
Pr1 Pr 0.000 0.000 0.798
Pr2 Pr 0.188 0.188 0.514
Tl1 Tl 0.000 0.000 0.275
# DOS at the Fermi energy = 14.52 states/eV/f.u.
# calculated volume = 697.7 Å³/cell
# mass density = 7.353 g/cm3

Arrangement b

# Tb4Pr5Tl PBE relaxed
data_Tb4Pr5Tl
_cell_length_a 4.247
_cell_length_b 4.247
_cell_length_c 18.397
_cell_angle_alpha 90.00
_cell_angle_beta 90.00
_cell_angle_gamma 90.00
_symmetry_space_group_name_H-M 'P 4/m m m'
_symmetry_Int_Tables_number 123
_symmetry_space_group_name_Hall '-P 4 2'
loop_
_atom_site_label
_atom_site_type_symbol
_atom_site_fract_x
_atom_site_fract_y
_atom_site_fract_z
Tb1 Tb 0.000 0.000 0.102
Tb2 Tb 0.000 0.000 0.306
Pr1 Pr 0.500 0.500 0.000
Pr2 Pr 0.500 0.500 0.205
Pr3 Pr 0.500 0.500 0.409
Tl1 Tl 0.000 0.000 0.500
# DOS at the Fermi energy = 16.87 states/eV/f.u.
# calculated volume = 331.8 Å³/cell
# mass density = 7.730 g/cm3

Going by the energies, arrangement b is most stable and the next is 146 meV/atom up.

Arrangement a

# TbPr2Tl4 PBE relaxed
data_TbPr2Tl4
_cell_length_a 5.359
_cell_length_b 5.359
_cell_length_c 15.319
_cell_angle_alpha 90.00
_cell_angle_beta 90.00
_cell_angle_gamma 90.00
_symmetry_space_group_name_H-M 'I 4/m m m'
_symmetry_Int_Tables_number 139
_symmetry_space_group_name_Hall '-I 4 2'
loop_
_atom_site_label
_atom_site_type_symbol
_atom_site_fract_x
_atom_site_fract_y
_atom_site_fract_z
Tb1 Tb 0.000 0.000 0.000
Pr1 Pr 0.000 0.000 0.252
Tl1 Tl 0.000 0.500 0.111
# DOS at the Fermi energy = 5.86 states/eV/f.u.
# calculated volume = 439.9 Å³/cell
# mass density = 9.500 g/cm3

Arrangement b

# TbPr2Tl4 PBE relaxed
data_TbPr2Tl4
_cell_length_a 5.826
_cell_length_b 5.826
_cell_length_c 15.959
_cell_angle_alpha 90.00
_cell_angle_beta 90.00
_cell_angle_gamma 90.00
_symmetry_space_group_name_H-M 'I 4/m m m'
_symmetry_Int_Tables_number 139
_symmetry_space_group_name_Hall '-I 4 2'
loop_
_atom_site_label
_atom_site_type_symbol
_atom_site_fract_x
_atom_site_fract_y
_atom_site_fract_z
Tb1 Tb 0.000 0.000 0.000
Pr1 Pr 0.000 0.000 0.396
Tl1 Tl 0.000 0.000 0.193
Tl2 Tl 0.000 0.500 0.000
# DOS at the Fermi energy = 10.61 states/eV/f.u.
# calculated volume = 541.7 Å³/cell
# mass density = 7.714 g/cm3

Going by the energies, arrangement a is most stable and the next is 359 meV/atom up.

Arrangement a

# Tb2Pr3Tl2 PBE relaxed
data_Tb2Pr3Tl2
_cell_length_a 9.638
_cell_length_b 5.575
_cell_length_c 8.820
_cell_angle_alpha 90.00
_cell_angle_beta 111.52
_cell_angle_gamma 90.00
_symmetry_space_group_name_H-M 'C 1 2/m 1'
_symmetry_Int_Tables_number 12
loop_
_symmetry_equiv_pos_as_xyz
'x,y,z'
'-x,-y,-z'
'-x,y,-z'
'x,-y,z'
'x+1/2,y+1/2,z'
'-x+1/2,-y+1/2,-z'
'-x+1/2,y+1/2,-z'
'x+1/2,-y+1/2,z'
loop_
_atom_site_label
_atom_site_type_symbol
_atom_site_fract_x
_atom_site_fract_y
_atom_site_fract_z
Tb1 Tb 0.075 0.000 0.224
Pr1 Pr 0.000 0.500 0.500
Pr2 Pr 0.156 0.500 0.969
Tl1 Tl 0.214 0.000 0.641
# DOS at the Fermi energy = 6.69 states/eV/f.u.
# calculated volume = 440.9 Å³/cell
# mass density = 8.657 g/cm3

Arrangement b

# Tb2Pr3Tl2 PBE relaxed
data_Tb2Pr3Tl2
_cell_length_a 5.001
_cell_length_b 24.479
_cell_length_c 3.584
_cell_angle_alpha 90.00
_cell_angle_beta 90.00
_cell_angle_gamma 90.00
_symmetry_space_group_name_H-M 'C m m m'
_symmetry_Int_Tables_number 65
_symmetry_space_group_name_Hall '-C 2 2'
loop_
_atom_site_label
_atom_site_type_symbol
_atom_site_fract_x
_atom_site_fract_y
_atom_site_fract_z
Tb1 Tb 0.000 0.213 0.000
Pr1 Pr 0.000 0.357 0.500
Pr2 Pr 0.000 0.500 0.500
Tl1 Tl 0.000 0.073 0.000
# DOS at the Fermi energy = 7.76 states/eV/f.u.
# calculated volume = 438.7 Å³/cell
# mass density = 8.700 g/cm3

Going by the energies, arrangement a is most stable and the next is 85 meV/atom up.

Arrangement a

# TbPr3Tl2 PBE relaxed
data_TbPr3Tl2
_cell_length_a 16.636
_cell_length_b 5.096
_cell_length_c 10.424
_cell_angle_alpha 90.00
_cell_angle_beta 118.82
_cell_angle_gamma 90.00
_symmetry_space_group_name_H-M 'C 1 2/m 1'
_symmetry_Int_Tables_number 12
loop_
_symmetry_equiv_pos_as_xyz
'x,y,z'
'-x,-y,-z'
'-x,y,-z'
'x,-y,z'
'x+1/2,y+1/2,z'
'-x+1/2,-y+1/2,-z'
'-x+1/2,y+1/2,-z'
'x+1/2,-y+1/2,z'
loop_
_atom_site_label
_atom_site_type_symbol
_atom_site_fract_x
_atom_site_fract_y
_atom_site_fract_z
Tb1 Tb 0.118 0.000 0.065
Pr1 Pr 0.042 0.000 0.360
Pr2 Pr 0.134 0.500 0.675
Pr3 Pr 0.212 0.500 0.379
Tl1 Tl 0.011 0.500 0.862
Tl2 Tl 0.242 0.000 0.899
# DOS at the Fermi energy = 6.19 states/eV/f.u.
# calculated volume = 774.3 Å³/cell
# mass density = 8.496 g/cm3

Arrangement b

# TbPr3Tl2 PBE relaxed
data_TbPr3Tl2
_cell_length_a 5.280
_cell_length_b 10.394
_cell_length_c 6.909
_cell_angle_alpha 90.00
_cell_angle_beta 90.00
_cell_angle_gamma 90.00
_symmetry_space_group_name_H-M 'P m c 21'
_symmetry_Int_Tables_number 26
loop_
_symmetry_equiv_pos_as_xyz
'x,y,z'
'-x,-y,z+1/2'
'-x,y,z'
'x,-y,z+1/2'
loop_
_atom_site_label
_atom_site_type_symbol
_atom_site_fract_x
_atom_site_fract_y
_atom_site_fract_z
Tb1 Tb 0.000 0.041 0.000
Pr1 Pr 0.000 0.312 0.641
Pr2 Pr 0.500 0.179 0.271
Pr3 Pr 0.500 0.460 0.905
Tl1 Tl 0.000 0.361 0.162
Tl2 Tl 0.500 0.134 0.752
# DOS at the Fermi energy = 6.92 states/eV/f.u.
# calculated volume = 379.2 Å³/cell
# mass density = 8.675 g/cm3

Going by the energies, arrangement b is most stable and the next is 86 meV/atom up.

Arrangement a

# TbPr6Tl PBE relaxed
data_TbPr6Tl
_cell_length_a 8.570
_cell_length_b 9.960
_cell_length_c 6.466
_cell_angle_alpha 90.00
_cell_angle_beta 97.29
_cell_angle_gamma 90.00
_symmetry_space_group_name_H-M 'C 1 2/m 1'
_symmetry_Int_Tables_number 12
loop_
_symmetry_equiv_pos_as_xyz
'x,y,z'
'-x,-y,-z'
'-x,y,-z'
'x,-y,z'
'x+1/2,y+1/2,z'
'-x+1/2,-y+1/2,-z'
'-x+1/2,y+1/2,-z'
'x+1/2,-y+1/2,z'
loop_
_atom_site_label
_atom_site_type_symbol
_atom_site_fract_x
_atom_site_fract_y
_atom_site_fract_z
Tb1 Tb 0.000 0.000 0.000
Pr1 Pr 0.155 0.500 0.204
Pr2 Pr 0.167 0.304 0.726
Tl1 Tl 0.000 0.000 0.500
# DOS at the Fermi energy = 9.66 states/eV/f.u.
# calculated volume = 547.5 Å³/cell
# mass density = 7.332 g/cm3

Arrangement b

# TbPr6Tl PBE relaxed
data_TbPr6Tl
_cell_length_a 5.072
_cell_length_b 5.072
_cell_length_c 10.453
_cell_angle_alpha 90.00
_cell_angle_beta 90.00
_cell_angle_gamma 90.00
_symmetry_space_group_name_H-M 'P 4/m m m'
_symmetry_Int_Tables_number 123
_symmetry_space_group_name_Hall '-P 4 2'
loop_
_atom_site_label
_atom_site_type_symbol
_atom_site_fract_x
_atom_site_fract_y
_atom_site_fract_z
Tb1 Tb 0.000 0.000 0.000
Pr1 Pr 0.000 0.500 0.256
Pr2 Pr 0.500 0.500 0.000
Pr3 Pr 0.500 0.500 0.500
Tl1 Tl 0.000 0.000 0.500
# DOS at the Fermi energy = 9.04 states/eV/f.u.
# calculated volume = 268.9 Å³/cell
# mass density = 7.464 g/cm3

Going by the energies, arrangement b is most stable and the next is 69 meV/atom up.

Arrangement a

# TbPr4Tl2 PBE relaxed
data_TbPr4Tl2
_cell_length_a 4.938
_cell_length_b 5.957
_cell_length_c 8.404
_cell_angle_alpha 98.18
_cell_angle_beta 96.10
_cell_angle_gamma 105.26
_symmetry_space_group_name_H-M 'P -1'
_symmetry_Int_Tables_number 2
loop_
_symmetry_equiv_pos_as_xyz
'x,y,z'
'-x,-y,-z'
loop_
_atom_site_label
_atom_site_type_symbol
_atom_site_fract_x
_atom_site_fract_y
_atom_site_fract_z
Tb1 Tb 0.000 0.000 0.000
Pr1 Pr 0.299 0.940 0.673
Pr2 Pr 0.500 0.500 0.000
Pr3 Pr 0.500 0.500 0.500
Tl1 Tl 0.052 0.650 0.269
# DOS at the Fermi energy = 10.03 states/eV/f.u.
# calculated volume = 233.4 Å³/cell
# mass density = 8.050 g/cm3

Arrangement b

# TbPr4Tl2 PBE relaxed
data_TbPr4Tl2
_cell_length_a 5.6462
_cell_length_b 5.6462
_cell_length_c 27.2900
_cell_angle_alpha 90.00
_cell_angle_beta 90.00
_cell_angle_gamma 120.00
_symmetry_space_group_name_H-M 'R -3 m'
_symmetry_Int_Tables_number 166
_symmetry_space_group_name_Hall '-R 3 2"'
loop_
_atom_site_label
_atom_site_type_symbol
_atom_site_fract_x
_atom_site_fract_y
_atom_site_fract_z
Tb1 Tb 0.0000 0.0000 0.0000
Pr1 Pr 0.0000 0.0000 0.2314
Pr2 Pr 0.0000 0.0000 0.3696
Tl1 Tl 0.0000 0.0000 0.1133
# DOS at the Fermi energy = 12.20 states/eV/f.u.
# calculated volume = 753.5 Å³/cell
# mass density = 7.480 g/cm3

Going by the energies, arrangement a is most stable and the next is 96 meV/atom up.